Record 1
# LaSb3N

An optimized crystal structure of LaSb3N (PBE-GGA, Alexandria).

a b c (Å): 6.1240 6.1240 6.1240
angles (deg): 90.00 90.00 90.00
Last column: nearest neighbours and their distance in Å.
Atoms (fractional coordinates):
La: 0.0000 0.0000 0.0000  6 Sb 3.06
Sb: 0.0000 0.0000 0.5000  2 La 3.06
Sb: 0.0000 0.5000 0.0000  2 La 3.06
Sb: 0.5000 0.0000 0.0000  2 La 3.06
N: 0.5000 0.5000 0.5000  12 Sb 4.33

Properties
SG = Pm-3m, No. 221
ΔE to the lowest computed polymorph = 1.541 eV per atom

Record 2
# La5Sb5N

An optimized crystal structure of La5Sb5N (PBE-GGA, Alexandria).

a b c (Å): 7.3892 7.3892 9.7073
angles (deg): 116.10 116.10 50.60
Last column: nearest neighbours and their distance in Å.
Atoms (fractional coordinates):
La: 0.0000 0.0000 0.0000  4 Sb 3.14-3.21, 2 N 3.16
La: 0.3283 0.3283 0.7101  1 N 2.63
La: 0.3611 0.3611 0.1146  1 N 2.59
La: 0.6389 0.6389 0.8854  1 N 2.59
La: 0.6717 0.6717 0.2899  1 N 2.63
Sb: 0.1148 0.1148 0.7839  5 La 3.14-3.29
Sb: 0.2326 0.2326 0.3329  1 Sb 3.12, 5 La 3.21-3.31
Sb: 0.5000 0.5000 0.5000  2 Sb 3.12, 2 La 3.27
Sb: 0.7674 0.7674 0.6671  1 Sb 3.12, 5 La 3.21-3.31
Sb: 0.8852 0.8852 0.2161  5 La 3.14-3.29
N: 0.5000 0.5000 0.0000  4 La 2.59-2.63

Properties
SG = C2/m, No. 12

Record 3
# La3SbN

An optimized crystal structure of La3SbN (PBE-GGA, Alexandria).

a b c (Å): 6.3794 6.3794 6.3794
angles (deg): 81.51 81.51 81.51
Last column: nearest neighbours and their distance in Å.
Atoms (fractional coordinates):
La: 0.0454 0.4773 0.4773  1 N 2.23
La: 0.4773 0.0454 0.4773  1 N 2.23
La: 0.4773 0.4773 0.0454  1 N 2.23
Sb: 0.5324 0.5324 0.5324  6 La 3.21-3.25, 1 N 3.31
N: 0.2692 0.2692 0.2692  3 La 2.23

Properties
SG = R3m, No. 160

Record 4
# La3SbN

An optimized crystal structure of La3SbN (PBE-GGA, Alexandria).

a b c (Å): 7.0268 7.0268 10.2600
angles (deg): 95.72 95.72 33.30
Last column: nearest neighbours and their distance in Å.
Atoms (fractional coordinates):
La: 0.0618 0.0618 0.3704  2 N 2.55
La: 0.3051 0.3051 0.3685  3 N 2.59-2.64
La: 0.3655 0.3655 0.8832  1 N 2.68
La: 0.6345 0.6345 0.1168  1 N 2.68
La: 0.6949 0.6949 0.6315  3 N 2.59-2.64
La: 0.9382 0.9382 0.6296  2 N 2.55
Sb: 0.1096 0.1096 0.8645  6 La 3.16-3.43
Sb: 0.8904 0.8904 0.1355  6 La 3.16-3.43
N: 0.3213 0.3213 0.6221  6 La 2.55-2.68
N: 0.6787 0.6787 0.3779  6 La 2.55-2.68

Properties
SG = C2/m, No. 12

Record 5
# La3SbN

An optimized crystal structure of La3SbN (PBE-GGA, Alexandria).

a b c (Å): 7.3116 7.3116 9.9031
angles (deg): 90.00 90.00 145.61
Last column: nearest neighbours and their distance in Å.
Atoms (fractional coordinates):
La: 0.0564 0.9436 0.7500  2 N 2.44
La: 0.3672 0.6328 0.5655  1 N 2.37
La: 0.3672 0.6328 0.9345  1 N 2.37
La: 0.6328 0.3672 0.0655  1 N 2.37
La: 0.6328 0.3672 0.4345  1 N 2.37
La: 0.9436 0.0564 0.2500  2 N 2.44
Sb: 0.2546 0.7454 0.2500  8 La 3.30-3.50
Sb: 0.7454 0.2546 0.7500  8 La 3.30-3.50
N: 0.4751 0.5249 0.7500  4 La 2.37-2.44
N: 0.5249 0.4751 0.2500  4 La 2.37-2.44

Properties
SG = Cmcm, No. 63

Record 6
# La3SbN

An optimized crystal structure of La3SbN (PBE-GGA, Alexandria).

a b c (Å): 7.1146 7.1146 5.9558
angles (deg): 90.00 90.00 120.00
Last column: nearest neighbours and their distance in Å.
Atoms (fractional coordinates):
La: 0.1648 0.3297 0.2500  2 N 2.52
La: 0.1648 0.8352 0.2500  2 N 2.52
La: 0.3297 0.1648 0.7500  2 N 2.52
La: 0.6703 0.8352 0.2500  2 N 2.52
La: 0.8352 0.1648 0.7500  2 N 2.52
La: 0.8352 0.6703 0.7500  2 N 2.52
Sb: 0.3333 0.6667 0.7500  12 La 3.56-3.63
Sb: 0.6667 0.3333 0.2500  12 La 3.56-3.63
N: 0.0000 0.0000 0.0000  6 La 2.52
N: 0.0000 0.0000 0.5000  6 La 2.52

Properties
SG = P6_3/mmc, No. 194

Record 7
# La3SbN

An optimized crystal structure of La3SbN (PBE-GGA, Alexandria).

a b c (Å): 8.4002 8.4002 8.4002
angles (deg): 54.34 54.34 54.34
Last column: nearest neighbours and their distance in Å.
Atoms (fractional coordinates):
La: 0.0407 0.7500 0.4593  1 N 2.23
La: 0.2500 0.5407 0.9593  1 N 2.23
La: 0.4593 0.0407 0.7500  1 N 2.23
La: 0.5407 0.9593 0.2500  1 N 2.23
La: 0.7500 0.4593 0.0407  1 N 2.23
La: 0.9593 0.2500 0.5407  1 N 2.23
Sb: 0.0000 0.0000 0.0000  6 La 3.27
Sb: 0.5000 0.5000 0.5000  6 La 3.27
N: 0.2500 0.2500 0.2500  3 La 2.23
N: 0.7500 0.7500 0.7500  3 La 2.23

Properties
SG = R-3c, No. 167

Record 8
# La3SbN

An optimized crystal structure of La3SbN (PBE-GGA, Alexandria).

a b c (Å): 6.0153 13.2605 7.5938
angles (deg): 90.00 90.00 90.00
Last column: nearest neighbours and their distance in Å.
Atoms (fractional coordinates):
La: 0.9995 0.1131 0.0949  1 N 2.33
La: 0.9995 0.3869 0.0949  1 N 2.33
La: 0.0005 0.6131 0.9051  1 N 2.33
La: 0.0005 0.8869 0.9051  1 N 2.33
La: 0.0199 0.2500 0.6057  2 N 2.39-2.46
La: 0.4801 0.7500 0.1057  2 N 2.39-2.46
La: 0.4995 0.1131 0.4051  1 N 2.33
La: 0.4995 0.3869 0.4051  1 N 2.33
La: 0.5005 0.6131 0.5949  1 N 2.33
La: 0.5005 0.8869 0.5949  1 N 2.33
La: 0.5199 0.2500 0.8943  2 N 2.39-2.46
La: 0.9801 0.7500 0.3943  2 N 2.39-2.46
Sb: 0.0000 0.0000 0.5000  8 La 3.41-3.44
Sb: 0.0000 0.5000 0.5000  8 La 3.41-3.44
Sb: 0.5000 0.0000 0.0000  8 La 3.41-3.44
Sb: 0.5000 0.5000 0.0000  8 La 3.41-3.44
N: 0.0709 0.7500 0.0882  4 La 2.33-2.46
N: 0.4291 0.2500 0.5882  4 La 2.33-2.46
N: 0.5709 0.7500 0.4118  4 La 2.33-2.46
N: 0.9291 0.2500 0.9118  4 La 2.33-2.46

Properties
SG = Pnma, No. 62

Record 9
# La3SbN

An optimized crystal structure of La3SbN (PBE-GGA, Alexandria).

a b c (Å): 8.6730 8.6730 8.6730
angles (deg): 137.01 137.01 62.42
Last column: nearest neighbours and their distance in Å.
Atoms (fractional coordinates):
La: 0.2034 0.2034 0.0000  2 N 3.25, 2 La 3.36, 2 Sb 3.39
La: 0.3326 0.6015 0.7311  1 N 2.28
La: 0.3985 0.1297 0.7311  1 N 2.28
La: 0.3985 0.6674 0.2689  1 N 2.28
La: 0.7966 0.7966 0.0000  2 N 3.25, 2 La 3.36, 2 Sb 3.39
La: 0.8703 0.6015 0.2689  1 N 2.28
Sb: 0.6243 0.1243 0.5000  8 La 3.39-3.66, 2 N 3.67, 1 Sb 3.73
Sb: 0.8757 0.3757 0.5000  8 La 3.39-3.66, 2 N 3.67, 1 Sb 3.73
N: 0.2500 0.7500 0.5000  4 La 2.65
N: 0.5000 0.5000 0.0000  4 La 2.28

Properties
SG = I-4m2, No. 119

Record 10
# La3SbN

An optimized crystal structure of La3SbN (PBE-GGA, Alexandria).

a b c (Å): 7.7893 7.7893 8.9775
angles (deg): 110.78 110.78 35.94
Last column: nearest neighbours and their distance in Å.
Atoms (fractional coordinates):
La: 0.0000 0.0000 0.0000  4 Sb 3.36
La: 0.0000 0.0000 0.5000  2 N 2.61
La: 0.2435 0.2435 0.8518  1 N 2.25
La: 0.3338 0.3338 0.5072  3 N 2.48-2.51
La: 0.6662 0.6662 0.4928  3 N 2.48-2.51
La: 0.7565 0.7565 0.1482  1 N 2.25
Sb: 0.4399 0.4399 0.2084  9 La 3.36-3.58
Sb: 0.5601 0.5601 0.7916  9 La 3.36-3.58
N: 0.1881 0.1881 0.5813  4 La 2.25-2.51
N: 0.8119 0.8119 0.4187  4 La 2.25-2.51

Properties
SG = C2/m, No. 12

Record 11
# La7Sb2N2

An optimized crystal structure of La7Sb2N2 (PBE-GGA, Alexandria).

a b c (Å): 7.2834 7.2834 6.6067
angles (deg): 96.53 96.53 91.43
Last column: nearest neighbours and their distance in Å.
Atoms (fractional coordinates):
La: 0.0000 0.0000 0.0000  2 N 2.39
La: 0.1243 0.4695 0.7946  1 N 2.38
La: 0.3869 0.3869 0.2969  1 N 2.31
La: 0.4695 0.1243 0.7946  1 N 2.38
La: 0.5305 0.8757 0.2054  1 N 2.38
La: 0.6131 0.6131 0.7031  1 N 2.31
La: 0.8757 0.5305 0.2054  1 N 2.38
Sb: 0.2054 0.7946 0.5000  6 La 3.31-3.47
Sb: 0.7946 0.2054 0.5000  6 La 3.31-3.47
N: 0.2345 0.2345 0.9959  4 La 2.31-2.39
N: 0.7655 0.7655 0.0041  4 La 2.31-2.39

Properties
SG = C2/m, No. 12

Record 12
# LaScSbN2

An optimized crystal structure of LaScSbN2 (PBE-GGA, Alexandria).

a b c (Å): 4.2312 4.2312 6.7795
angles (deg): 90.00 90.00 90.00
Last column: nearest neighbours and their distance in Å.
Atoms (fractional coordinates):
La: 0.0000 0.0000 0.0000  4 N 2.12
Sc: 0.5000 0.5000 0.5000  4 Sb 2.99
Sb: 0.0000 0.0000 0.5000  4 Sc 2.99
N: 0.0000 0.5000 0.0000  2 La 2.12
N: 0.5000 0.0000 0.0000  2 La 2.12

Properties
SG = P4/mmm, No. 123

Record 13
# LaSc2SbN

An optimized crystal structure of LaSc2SbN (PBE-GGA, Alexandria).

a b c (Å): 4.5213 4.5213 5.1840
angles (deg): 90.00 90.00 90.00
Last column: nearest neighbours and their distance in Å.
Atoms (fractional coordinates):
La: 0.0000 0.0000 0.0000  2 N 2.59
Sc: 0.0000 0.5000 0.5000  2 N 2.26
Sc: 0.5000 0.0000 0.5000  2 N 2.26
Sb: 0.5000 0.5000 0.0000  4 La 3.20, 8 Sc 3.44
N: 0.0000 0.0000 0.5000  4 Sc 2.26

Properties
SG = P4/mmm, No. 123

Record 14
# La5Sb2SeN

An optimized crystal structure of La5Sb2SeN (PBE-GGA, Alexandria).

a b c (Å): 4.7922 4.7922 11.7400
angles (deg): 90.00 90.00 90.00
Last column: nearest neighbours and their distance in Å.
Atoms (fractional coordinates):
La: 0.0000 0.0000 0.0000  2 Sb 3.34, 4 Se 3.39
La: 0.0000 0.5000 0.5000  2 N 2.40
La: 0.5000 0.0000 0.5000  2 N 2.40
La: 0.5000 0.5000 0.2497  1 Se 2.93, 1 N 2.94
La: 0.5000 0.5000 0.7503  1 Se 2.93, 1 N 2.94
Sb: 0.0000 0.0000 0.2845  9 La 3.34-3.48
Sb: 0.0000 0.0000 0.7155  9 La 3.34-3.48
Se: 0.5000 0.5000 0.0000  2 La 2.93
N: 0.5000 0.5000 0.5000  4 La 2.40

Properties
SG = P4/mmm, No. 123

Record 15
# LaSbSeN2

An optimized crystal structure of LaSbSeN2 (PBE-GGA, Alexandria).

a b c (Å): 4.2285 4.2285 5.2393
angles (deg): 90.00 90.00 90.00
Last column: nearest neighbours and their distance in Å.
Atoms (fractional coordinates):
La: 0.0000 0.0000 0.0000  4 Se 2.99
Sb: 0.5000 0.5000 0.5000  4 N 2.11
Se: 0.5000 0.5000 0.0000  2 Sb 2.62
N: 0.0000 0.5000 0.5000  2 Sb 2.11
N: 0.5000 0.0000 0.5000  2 Sb 2.11

Properties
SG = P4/mmm, No. 123
ΔE to the lowest computed polymorph = 0.000 eV per atom

Record 16
# LaSbSeN2

An optimized crystal structure of LaSbSeN2 (PBE-GGA, Alexandria).

a b c (Å): 4.3349 4.3349 6.1104
angles (deg): 90.00 90.00 90.00
Last column: nearest neighbours and their distance in Å.
Atoms (fractional coordinates):
La: 0.0000 0.0000 0.0000  4 N 2.17
Sb: 0.5000 0.5000 0.5000  4 Se 3.07
Se: 0.0000 0.0000 0.5000  2 La 3.06, 4 Sb 3.07
N: 0.0000 0.5000 0.0000  2 La 2.17
N: 0.5000 0.0000 0.0000  2 La 2.17

Properties
SG = P4/mmm, No. 123
ΔE to the lowest computed polymorph = 0.592 eV per atom

Record 17
# LaSm2SbN4

An optimized crystal structure of LaSm2SbN4 (PBE-GGA, Alexandria).

a b c (Å): 6.2916 6.2916 12.1810
angles (deg): 90.00 90.00 145.32
Last column: nearest neighbours and their distance in Å.
Atoms (fractional coordinates):
La: 0.1048 0.8952 0.7500  6 N 2.78-2.80
La: 0.8952 0.1048 0.2500  6 N 2.78-2.80
Sm: 0.3717 0.6283 0.5382  3 N 2.33-2.47
Sm: 0.3717 0.6283 0.9618  3 N 2.33-2.47
Sm: 0.6283 0.3717 0.0382  3 N 2.33-2.47
Sm: 0.6283 0.3717 0.4618  3 N 2.33-2.47
Sb: 0.1551 0.8449 0.2500  4 N 2.07-2.15
Sb: 0.8449 0.1551 0.7500  4 N 2.07-2.15
N: 0.0000 0.0000 0.0000  4 Sm 2.47
N: 0.0000 0.0000 0.5000  4 Sm 2.47
N: 0.2765 0.7235 0.1288  1 Sb 2.07
N: 0.2765 0.7235 0.3712  1 Sb 2.07
N: 0.4320 0.5680 0.7500  2 Sb 2.15
N: 0.5680 0.4320 0.2500  2 Sb 2.15
N: 0.7235 0.2765 0.6288  1 Sb 2.07
N: 0.7235 0.2765 0.8712  1 Sb 2.07

Properties
SG = Cmcm, No. 63

Record 18
# La2Sm4Sb3N2

An optimized crystal structure of La2Sm4Sb3N2 (PBE-GGA, Alexandria).

a b c (Å): 13.4716 13.4716 13.4716
angles (deg): 159.47 159.47 29.20
Last column: nearest neighbours and their distance in Å.
Atoms (fractional coordinates):
La: 0.1914 0.1914 0.0000  1 N 2.33
La: 0.8086 0.8086 0.0000  1 N 2.33
Sm: 0.0815 0.5815 0.5000  2 N 2.46
Sm: 0.4185 0.9185 0.5000  2 N 2.46
Sm: 0.5815 0.0815 0.5000  2 N 2.46
Sm: 0.9185 0.4185 0.5000  2 N 2.46
Sb: 0.3249 0.3249 0.0000  5 La 3.42-3.48, 4 Sm 3.42
Sb: 0.5000 0.5000 0.0000  8 Sm 3.21
Sb: 0.6751 0.6751 0.0000  5 La 3.42-3.48, 4 Sm 3.42
N: 0.1019 0.1019 0.0000  1 La 2.33, 4 Sm 2.46
N: 0.8981 0.8981 0.0000  1 La 2.33, 4 Sm 2.46

Properties
SG = I4/mmm, No. 139

Record 19
# La4Sm2Sb3N2

An optimized crystal structure of La4Sm2Sb3N2 (PBE-GGA, Alexandria).

a b c (Å): 13.6617 13.6617 13.6617
angles (deg): 159.56 159.56 29.06
Last column: nearest neighbours and their distance in Å.
Atoms (fractional coordinates):
La: 0.0844 0.5844 0.5000  2 N 2.51
La: 0.4156 0.9156 0.5000  2 N 2.51
La: 0.5844 0.0844 0.5000  2 N 2.51
La: 0.9156 0.4156 0.5000  2 N 2.51
Sm: 0.1946 0.1946 0.0000  1 N 2.27
Sm: 0.8054 0.8054 0.0000  1 N 2.27
Sb: 0.3189 0.3189 0.0000  5 Sm 3.29-3.45, 4 La 3.52
Sb: 0.5000 0.5000 0.0000  8 La 3.29
Sb: 0.6811 0.6811 0.0000  5 Sm 3.29-3.45, 4 La 3.52
N: 0.1089 0.1089 0.0000  1 Sm 2.27, 4 La 2.51
N: 0.8911 0.8911 0.0000  1 Sm 2.27, 4 La 2.51

Properties
SG = I4/mmm, No. 139

Record 20
# LaSmSbN

An optimized crystal structure of LaSmSbN (PBE-GGA, Alexandria).

a b c (Å): 4.7265 4.7265 9.2501
angles (deg): 90.00 90.00 90.00
Last column: nearest neighbours and their distance in Å.
Atoms (fractional coordinates):
La: 0.2500 0.7500 0.0000  4 N 2.51
La: 0.7500 0.2500 0.0000  4 N 2.51
Sm: 0.2500 0.2500 0.3334  1 N 2.24
Sm: 0.7500 0.7500 0.6666  1 N 2.24
Sb: 0.2500 0.2500 0.6926  5 Sm 3.32-3.35, 1 N 3.69, 4 La 3.70
Sb: 0.7500 0.7500 0.3074  5 Sm 3.32-3.35, 1 N 3.69, 4 La 3.70
N: 0.2500 0.2500 0.0915  1 Sm 2.24
N: 0.7500 0.7500 0.9085  1 Sm 2.24

Properties
SG = P4/nmm, No. 129

Volume / Å³ per atom: 45.935, 32.528, 50.370, 27.660, 29.904, 26.113, 36.376, 30.286, 29.966, 29.666, 31.426, 24.274, 21.195, 29.957, 18.736, 22.964, 17.146, 27.332, 28.255, 25.831
VASP energy / eV per atom: -3.661, -5.727, -5.842, -6.342, -6.458, -6.531, -6.231, -6.402, -5.962, -6.475, -6.182, -5.937, -7.040, -6.227, -5.771, -5.179, -7.187, -6.465, -6.467, -6.809
Size of the total moment / μB per formula unit: 2.890, 0.000, 0.000, 0.425, 0.948, 0.000, 1.139, 0.000, 1.154, 0.000, 0.000, 0.000, 0.004, 0.000, 0.002, 0.000, 0.000, 0.000, 0.000, 0.000